This record from Alexandria via LeMat-Bulk describes a relaxed structure of Sc3Rh5. The functional is PBE. Values from VASP.

Results
DFT total energy   -7.5623 eV/atom

Cell and atoms, written as Quantum ESPRESSO input:
```
&SYSTEM
  ibrav = 0, nat = 16, ntyp = 2
/
ATOMIC_SPECIES
Sc 44.96 Sc.upf
Rh 102.91 Rh.upf
CELL_PARAMETERS angstrom
7.5441 -0.0001 0.0000
-3.7721 6.5334 0.0000
0.0000 0.0000 5.3506
ATOMIC_POSITIONS crystal
Sc 0.0000 0.3897 0.7500
Sc 0.0000 0.6103 0.2500
Sc 0.3897 0.0000 0.7500
Sc 0.3897 0.3897 0.2500
Sc 0.6103 0.0000 0.2500
Sc 0.6103 0.6103 0.7500
Rh 0.9999 0.2307 0.2500
Rh 0.9999 0.7691 0.7500
Rh 0.2309 0.0001 0.2500
Rh 0.2309 0.2308 0.7500
Rh 0.3333 0.6667 0.0000
Rh 0.3333 0.6667 0.5000
Rh 0.6667 0.3333 0.0000
Rh 0.6667 0.3333 0.5000
Rh 0.7693 0.0001 0.7500
Rh 0.7692 0.7692 0.2500
```

***

This record from Alexandria via LeMat-Bulk describes a relaxed structure of Sc3Rh. The functional is PBE. Values from VASP.

Results
DFT total energy   -6.9009 eV/atom

Cell and atoms, written as Quantum ESPRESSO input:
```
&SYSTEM
  ibrav = 0, nat = 4, ntyp = 2
/
ATOMIC_SPECIES
Rh 102.91 Rh.upf
Sc 44.96 Sc.upf
CELL_PARAMETERS angstrom
4.8059 0.0000 0.0000
2.4030 4.1620 0.0000
2.4030 1.3873 3.9240
ATOMIC_POSITIONS crystal
Rh 0.0000 0.0000 0.0000
Sc 0.2500 0.2500 0.2500
Sc 0.5000 0.5000 0.5000
Sc 0.7500 0.7500 0.7500
```

***

This record from Alexandria via LeMat-Bulk describes a relaxed structure of Sc3Rh. The functional is PBE. Values from VASP.

Results
DFT total energy   -6.5233 eV/atom

Cell and atoms, written as Quantum ESPRESSO input:
```
&SYSTEM
  ibrav = 0, nat = 4, ntyp = 2
/
ATOMIC_SPECIES
Rh 102.91 Rh.upf
Sc 44.96 Sc.upf
CELL_PARAMETERS angstrom
-0.9154 -1.6819 -4.6906
1.1230 -4.7160 1.4719
-4.8548 -0.7738 1.2249
ATOMIC_POSITIONS crystal
Rh 0.0000 0.0000 0.0000
Sc 0.0000 0.0000 0.5000
Sc 0.0000 0.5000 0.0000
Sc 0.5000 0.0000 0.0000
```

***

This record from Alexandria via LeMat-Bulk describes a relaxed structure of ScRh4. The functional is PBE. Values from VASP.

Results
DFT total energy   -7.5756 eV/atom

Cell and atoms, written as Quantum ESPRESSO input:
```
&SYSTEM
  ibrav = 0, nat = 5, ntyp = 2
/
ATOMIC_SPECIES
Sc 44.96 Sc.upf
Rh 102.91 Rh.upf
CELL_PARAMETERS angstrom
-5.5832 2.3419 -1.2375
-0.6843 -4.0644 -4.6044
-3.9514 -2.1467 -1.6647
ATOMIC_POSITIONS crystal
Sc 0.0000 0.0000 0.0000
Rh 0.8068 0.5996 0.0000
Rh 0.1932 0.4004 0.0000
Rh 0.5996 0.1932 0.0000
Rh 0.4004 0.8068 0.0000
```

***

This record from Alexandria via LeMat-Bulk describes a relaxed structure of ScRh5. The functional is PBE. Values from VASP.

Results
DFT total energy   -7.4551 eV/atom

Cell and atoms, written as Quantum ESPRESSO input:
```
&SYSTEM
  ibrav = 0, nat = 6, ntyp = 2
/
ATOMIC_SPECIES
Sc 44.96 Sc.upf
Rh 102.91 Rh.upf
CELL_PARAMETERS angstrom
1.7148 6.3256 3.1845
-3.4472 -6.3507 -0.9386
3.1122 -2.0408 2.3779
ATOMIC_POSITIONS crystal
Sc 0.1127 0.8873 0.5000
Rh 0.9967 0.0033 0.0000
Rh 0.3302 0.6698 0.0000
Rh 0.6669 0.3331 0.0000
Rh 0.4466 0.5534 0.5000
Rh 0.7802 0.2198 0.5000
```

***

This record from Alexandria via LeMat-Bulk describes a relaxed structure of Sc3Rh. The functional is PBE. Values from VASP.

Results
DFT total energy   -6.8495 eV/atom

Cell and atoms, written as Quantum ESPRESSO input:
```
&SYSTEM
  ibrav = 0, nat = 8, ntyp = 2
/
ATOMIC_SPECIES
Sc 44.96 Sc.upf
Rh 102.91 Rh.upf
CELL_PARAMETERS angstrom
-1.0359 -0.8996 5.2546
5.2031 -1.3362 0.7970
1.1609 5.1863 1.1168
ATOMIC_POSITIONS crystal
Sc 0.0000 0.2500 0.5000
Sc 0.0000 0.7500 0.5000
Sc 0.2500 0.5000 0.0000
Sc 0.5000 0.0000 0.2500
Sc 0.5000 0.0000 0.7500
Sc 0.7500 0.5000 0.0000
Rh 0.0000 0.0000 0.0000
Rh 0.5000 0.5000 0.5000
```

***

This record from Alexandria via LeMat-Bulk describes a relaxed structure of Sc3Rh5. The functional is PBE. Values from VASP.

Results
DFT total energy   -7.7596 eV/atom

Cell and atoms, written as Quantum ESPRESSO input:
```
&SYSTEM
  ibrav = 0, nat = 8, ntyp = 2
/
ATOMIC_SPECIES
Rh 102.91 Rh.upf
Sc 44.96 Sc.upf
CELL_PARAMETERS angstrom
5.5213 0.0185 0.0000
0.9286 5.4427 0.0000
0.0000 0.0000 4.2643
ATOMIC_POSITIONS crystal
Rh 0.0000 0.0000 0.0000
Rh 0.0000 0.5000 0.0000
Rh 0.5000 0.0000 0.0000
Rh 0.7200 0.2800 0.5000
Rh 0.2800 0.7200 0.5000
Sc 0.5000 0.5000 0.0000
Sc 0.2140 0.2140 0.5000
Sc 0.7860 0.7860 0.5000
```

***

This record from Alexandria via LeMat-Bulk describes a relaxed structure of ScRh4. The functional is PBE. Values from VASP.

Results
DFT total energy   -7.2826 eV/atom

Cell and atoms, written as Quantum ESPRESSO input:
```
&SYSTEM
  ibrav = 0, nat = 5, ntyp = 2
/
ATOMIC_SPECIES
Sc 44.96 Sc.upf
Rh 102.91 Rh.upf
CELL_PARAMETERS angstrom
-1.8445 1.8445 6.1606
1.8445 -1.8445 6.1606
1.8445 1.8445 -6.1606
ATOMIC_POSITIONS crystal
Sc 0.0000 0.0000 0.0000
Rh 0.7500 0.2500 0.5000
Rh 0.4011 0.4011 0.0000
Rh 0.5989 0.5989 0.0000
Rh 0.2500 0.7500 0.5000
```

***

This record from Alexandria via LeMat-Bulk describes a relaxed structure of ScRh4. The functional is PBE. Values from VASP.

Results
DFT total energy   -6.0720 eV/atom

Cell and atoms, written as Quantum ESPRESSO input:
```
&SYSTEM
  ibrav = 0, nat = 5, ntyp = 2
/
ATOMIC_SPECIES
Sc 44.96 Sc.upf
Rh 102.91 Rh.upf
CELL_PARAMETERS angstrom
4.5653 0.0000 0.0000
0.0000 4.5653 0.0000
0.0000 0.0000 4.5653
ATOMIC_POSITIONS crystal
Sc 0.5000 0.5000 0.5000
Rh 0.0000 0.0000 0.0000
Rh 0.5000 0.0000 0.5000
Rh 0.0000 0.5000 0.5000
Rh 0.5000 0.5000 0.0000
```

***

This record from Alexandria via LeMat-Bulk describes a relaxed structure of Sc3Rh5. The functional is PBE. Values from VASP.

Results
DFT total energy   -7.6161 eV/atom

Cell and atoms, written as Quantum ESPRESSO input:
```
&SYSTEM
  ibrav = 0, nat = 16, ntyp = 2
/
ATOMIC_SPECIES
Sc 44.96 Sc.upf
Rh 102.91 Rh.upf
CELL_PARAMETERS angstrom
5.4553 -0.1349 0.1342
2.5431 6.8387 0.2373
-2.5418 0.2360 6.8385
ATOMIC_POSITIONS crystal
Sc 0.0554 0.1803 0.4512
Sc 0.2504 0.9517 0.9520
Sc 0.4453 0.4507 0.1807
Sc 0.5555 0.5493 0.8201
Sc 0.7505 0.0483 0.0488
Sc 0.9454 0.8196 0.5496
Rh 0.0112 0.6755 0.9077
Rh 0.2544 0.8076 0.2952
Rh 0.2504 0.4635 0.4639
Rh 0.2465 0.2949 0.8080
Rh 0.4897 0.9073 0.6758
Rh 0.5111 0.0927 0.3250
Rh 0.7543 0.7051 0.1928
Rh 0.7504 0.5365 0.5368
Rh 0.7464 0.1924 0.7056
Rh 0.9896 0.3245 0.0932
```

***

This record from Alexandria via LeMat-Bulk describes a relaxed structure of Sc4Rh5. The functional is PBE. Values from VASP.

Results
DFT total energy   -7.6497 eV/atom

Cell and atoms, written as Quantum ESPRESSO input:
```
&SYSTEM
  ibrav = 0, nat = 9, ntyp = 2
/
ATOMIC_SPECIES
Sc 44.96 Sc.upf
Rh 102.91 Rh.upf
CELL_PARAMETERS angstrom
-4.4261 4.4261 1.9997
4.4261 -4.4261 1.9997
4.4261 4.4261 -1.9997
ATOMIC_POSITIONS crystal
Sc 0.0000 0.2869 0.2869
Sc 0.0000 0.7131 0.7131
Sc 0.2869 0.0000 0.2869
Sc 0.7131 0.0000 0.7131
Rh 0.0000 0.0000 0.0000
Rh 0.3347 0.3347 0.6693
Rh 0.3347 0.6653 0.0000
Rh 0.6653 0.3347 0.0000
Rh 0.6653 0.6653 0.3307
```

***

This record from Alexandria via LeMat-Bulk describes a relaxed structure of Sc5Rh. The functional is PBE. Values from VASP.

Results
DFT total energy   -6.7546 eV/atom

Cell and atoms, written as Quantum ESPRESSO input:
```
&SYSTEM
  ibrav = 0, nat = 6, ntyp = 2
/
ATOMIC_SPECIES
Sc 44.96 Sc.upf
Rh 102.91 Rh.upf
CELL_PARAMETERS angstrom
4.9546 0.0000 0.0000
0.0000 3.5714 0.0000
0.0000 -1.7857 7.3623
ATOMIC_POSITIONS crystal
Sc 0.5000 0.8301 0.6603
Sc 0.0000 0.6398 0.2796
Sc 0.5000 0.5000 0.0000
Sc 0.0000 0.3602 0.7204
Sc 0.5000 0.1699 0.3397
Rh 0.0000 0.0000 0.0000
```